Li4CoAsO6: optimized geometry, GGA+U.

Lattice parameters (Å, degrees): 4.978 4.978 5.006 99.85 99.85 119.80
Last column: magnetic moment on the atom in μB.
Positions (direct):
O 0.404 0.057 0.777  0.14
O 0.077 0.443 0.770  0.12
O 0.230 0.210 0.229  0.12
O 0.557 0.923 0.230  0.12
Co 0.832 0.168 0.000  3.07
Li 0.998 0.002 0.500  0.01
O 0.790 0.770 0.771  0.12
Li 0.662 0.338 0.500  0.01
O 0.943 0.596 0.223  0.14
Li 0.340 0.660 0.500  0.01
Li 0.500 0.500 0.000  0.00
As 0.168 0.832 0.000  0.00

## Properties
E_tot = -67.52 eV per cell
Magnetization = 0.00 μB per formula unit